Crystalline Rb2Na7Hg2 at its relaxed geometry. Source: the Alexandria database, functional PBE-GGA.

## Properties
The calculation puts the formation energy at -7.4 kJ/mol of atoms. The calculation puts the total DFT energy (no corrections) at -1.147 eV per atom.

```
data_Rb2Na7Hg2
_chemical_formula_sum 'Rb4 Na14 Hg4'
_symmetry_space_group_name_H-M 'C 1 2/m 1'
_symmetry_Int_Tables_number 12
_cell_length_a 15.217
_cell_length_b 11.621
_cell_length_c 5.237
_cell_angle_alpha 90.00
_cell_angle_beta 110.02
_cell_angle_gamma 90.00
loop_
_symmetry_equiv_pos_as_xyz
'x,y,z'
'-x,-y,-z'
'-x,y,-z'
'x,-y,z'
'x+1/2,y+1/2,z'
'-x+1/2,-y+1/2,-z'
'-x+1/2,y+1/2,-z'
'x+1/2,-y+1/2,z'
loop_
_atom_site_label
_atom_site_fract_x
_atom_site_fract_y
_atom_site_fract_z
Rb1 0.134 0.000 0.136
Na1 0.000 0.500 0.500
Na2 0.140 0.260 0.640
Na3 0.152 0.500 0.152
Hg1 0.000 0.290 0.000
```